Entry 1:
Material: LiTmNO
Method: DFT, PBE
State: relaxed

Total DFT energy (no corrections), eV per formula unit: -26.073
Spin magnetization, μB/cell: 1.9
SG: P4/nmm, No. 129

abc: 4.654 4.654 4.368
angles: 90.00 90.00 90.00
Positions (direct):
Li1 0.250 0.250 0.000
Li2 0.750 0.750 0.000
Tm1 0.250 0.750 0.500
Tm2 0.750 0.250 0.500
N1 0.250 0.250 0.499
N2 0.750 0.750 0.501
O1 0.250 0.750 0.000
O2 0.750 0.250 0.000

***

Entry 2:
Material: LiTmNO
Method: DFT, PBE
State: relaxed

Total DFT energy (no corrections), eV per formula unit: -25.493
Spin magnetization, μB/cell: 2.0
SG: P4/nmm, No. 129

abc: 3.626 3.626 7.102
angles: 90.00 90.00 90.00
Positions (direct):
Li1 0.250 0.750 0.000
Li2 0.750 0.250 0.000
Tm1 0.250 0.250 0.336
Tm2 0.750 0.750 0.664
N1 0.250 0.250 0.864
N2 0.750 0.750 0.136
O1 0.250 0.750 0.500
O2 0.750 0.250 0.500